BaFePt2O | GGA+U | relaxed

- energy (eV per cell) = -22.47
- magnetization (μB per formula unit) = 4.7

a b c (Å): 4.6135 4.6135 6.5061
angles (deg): 90.00 90.00 90.00
Last column: nearest neighbours and their distance in Å.
Space group P4/mmm (No. 123)
One atom of each set of equivalent atoms:
Ba 0.0000 0.0000 0.0000  2 Fe 3.25, 4 O 3.26
Fe 0.0000 0.0000 0.5000  4 Pt 2.31
Pt 0.0000 0.5000 0.5000  2 Fe 2.31
O 0.5000 0.5000 0.0000  4 Ba 3.26